Computed, not measured: an optimized crystal structure of NbSiPt at the GGA-PBEsol level of DFT.

Formation energy without anion corrections ... -865.5 meV/atom
DOS at the Fermi energy ... 6.04 states/eV per cell
Total energy ... -104.51 eV per cell

abc: 3.819 6.409 7.355
angles: 90.00 90.00 90.00
Atoms (fractional coordinates):
1 Si 0.250 0.769 0.626
2 Si 0.250 0.269 0.874
3 Si 0.750 0.231 0.374
4 Si 0.750 0.731 0.126
5 Pt 0.750 0.849 0.435
6 Pt 0.750 0.349 0.065
7 Pt 0.250 0.151 0.565
8 Pt 0.250 0.651 0.935
9 Nb 0.750 0.973 0.834
10 Nb 0.250 0.527 0.334
11 Nb 0.750 0.473 0.666
12 Nb 0.250 0.027 0.166